[1]
Cs2YInO4 | PBE | relaxed

Summary:
crystal system: orthorhombic
calculated total energy: -5.631 eV/atom
energy relative to the elements, uncorrected: -1.788 eV/atom

Cell: 13.1666 11.6633 7.4052 Å, 84.18 61.80 34.02°
Sites, in units of the cell vectors:
Cs (0.0581, 0.0581, 0.6919)
Cs (0.3081, 0.3081, 0.9419)
Cs (0.6919, 0.6919, 0.0581)
Cs (0.9419, 0.9419, 0.3081)
Y (0.1250, 0.1250, 0.1250)
Y (0.8750, 0.8750, 0.8750)
In (0.3750, 0.3750, 0.3750)
In (0.6250, 0.6250, 0.6250)
O (0.0018, 0.3329, 0.4264)
O (0.2611, 0.5736, 0.6671)
O (0.3329, 0.0018, 0.7389)
O (0.4264, 0.7389, 0.0018)
O (0.5736, 0.2611, 0.9982)
O (0.6671, 0.9982, 0.2611)
O (0.7389, 0.4264, 0.3329)
O (0.9982, 0.6671, 0.5736)


[2]
CsZnInO3 | PBE | relaxed

Summary:
crystal system: monoclinic
calculated total energy: -4.686 eV/atom
energy relative to the elements, uncorrected: -1.396 eV/atom

Cell: 7.9344 3.4595 8.6974 Å, 90.00 109.47 90.00°
Sites, in units of the cell vectors:
Cs (0.2225, 0.2500, 0.2411)
Cs (0.7775, 0.7500, 0.7589)
Zn (0.0974, 0.2500, 0.6119)
Zn (0.9026, 0.7500, 0.3881)
In (0.3422, 0.7500, 0.8720)
In (0.6578, 0.2500, 0.1280)
O (0.1550, 0.2500, 0.8505)
O (0.1732, 0.7500, 0.5460)
O (0.4809, 0.7500, 0.1363)
O (0.5191, 0.2500, 0.8637)
O (0.8268, 0.2500, 0.4540)
O (0.8450, 0.7500, 0.1495)


[3]
Cs2InOs | PBE | relaxed

Summary:
formation enthalpy at 0 K: 1839 meV per atom
crystal system: cubic
polymorph energy (0 for the lowest one): 373 meV/atom
calculated total energy: -2.080 eV/atom

Cell: 9.0600 9.0600 9.0600 Å, 60.00 60.00 60.00°
Sites, in units of the cell vectors:
Cs (0.0000, 0.0000, 0.0000)
Cs (0.0000, 0.0000, 0.5000)
Cs (0.0000, 0.5000, 0.0000)
Cs (0.5000, 0.0000, 0.0000)
In (0.3750, 0.3750, 0.3750)
In (0.6250, 0.6250, 0.6250)
Os (0.1250, 0.1250, 0.1250)
Os (0.8750, 0.8750, 0.8750)


| no. | density (g/cm³) |
| --- | --- |
| 1 | 3.91 |
| 2 | 5.33 |
| 3 | 3.61 |